[1]
Below is a relaxed K2CaTa crystal, with properties calculated at the PBE-GGA level.

Values from the calculation:
Relative energy among the computed polymorphs   396 meV per atom
Crystal system   tetragonal
M_tot   3.9 μB/f.u.
Total energy   -2.750 eV/atom
Calculated formation energy   1.26 eV per atom
Symmetry   I4/mmm

```
K2CaTa
1.0
-2.460 2.460 6.366
2.460 -2.460 6.366
2.460 2.460 -6.366
K Ca Ta
2 1 1
direct
0.250 0.750 0.500
0.750 0.250 0.500
0.000 0.000 0.000
0.500 0.500 0.000
```

---

[2]
Below is a relaxed Re3PtS crystal, with properties calculated at the PBE-GGA level.

Values from the calculation:
Relative energy among the computed polymorphs   1861 meV per atom
Crystal system   cubic
M_tot   2.7 μB/f.u.
Total energy   -6.738 eV/atom
ΔE_f (raw)   13.82 eV/f.u.
Symmetry   Pm-3m

```
Re3PtS
1.0
4.786 0.000 0.000
0.000 4.786 0.000
0.000 0.000 4.786
Re Pt S
3 1 1
direct
0.000 0.000 0.500
0.000 0.500 0.000
0.500 0.000 0.000
0.000 0.000 0.000
0.500 0.500 0.500
```

---

[3]
Below is a relaxed BaMgCu3 crystal, with properties calculated at the PBE-GGA level.

Values from the calculation:
Relative energy among the computed polymorphs   0 meV per atom
Crystal system   cubic
M_tot   0.0 μB/f.u.
Total energy   -2.847 eV/atom
Calculated formation energy   0.31 eV per atom
Symmetry   Pm-3m

```
BaMgCu3
1.0
4.948 0.000 0.000
0.000 4.948 0.000
0.000 0.000 4.948
Ba Mg Cu
1 1 3
direct
0.000 0.000 0.000
0.500 0.500 0.500
0.000 0.500 0.500
0.500 0.000 0.500
0.500 0.500 0.000
```

---

[4]
Below is a relaxed AcTb5Al4 crystal, with properties calculated at the PBE-GGA level.

Values from the calculation:
Crystal system   tetragonal
M_tot   0.0 μB/f.u.
Total energy   -4.522 eV/atom
Calculated formation energy   -0.30 eV per atom
Symmetry   P4/mmm

```
AcTb5Al4
1.0
3.625 0.000 0.000
0.000 3.625 0.000
0.000 0.000 20.102
Ac Tb Al
1 5 4
direct
0.000 0.000 0.000
0.500 0.500 0.141
0.500 0.500 0.321
0.500 0.500 0.500
0.500 0.500 0.679
0.500 0.500 0.859
0.000 0.000 0.230
0.000 0.000 0.410
0.000 0.000 0.590
0.000 0.000 0.770
```

---

[5]
Below is a relaxed Ag2HCl crystal, with properties calculated at the PBE-GGA level.

Values from the calculation:
Relative energy among the computed polymorphs   0 meV per atom
Crystal system   tetragonal
M_tot   0.0 μB/f.u.
Total energy   -2.858 eV/atom
Symmetry   I-42d

```
Ag2HCl
1.0
-2.728 2.728 4.637
2.728 -2.728 4.637
2.728 2.728 -4.637
Ag H Cl
4 2 2
direct
0.005 0.625 0.880
0.375 0.255 0.380
0.745 0.125 0.120
0.875 0.995 0.620
0.000 0.000 0.000
0.750 0.250 0.500
0.250 0.750 0.500
0.500 0.500 0.000
```

---

[6]
Below is a relaxed Dy2InH crystal, with properties calculated at the PBE-GGA level.

Values from the calculation:
Relative energy among the computed polymorphs   293 meV per atom
Crystal system   tetragonal
M_tot   0.0 μB/f.u.
Total energy   -3.906 eV/atom
Symmetry   P4/mmm

```
Dy2InH
1.0
3.351 0.000 0.000
0.000 3.351 0.000
0.000 0.000 7.583
Dy In H
2 1 1
direct
0.000 0.000 0.211
0.000 0.000 0.789
0.500 0.500 0.500
0.500 0.500 0.000
```

---

[7]
Below is a relaxed MnAlGa4 crystal, with properties calculated at the PBE-GGA level.

Values from the calculation:
Relative energy among the computed polymorphs   65 meV per atom
Crystal system   orthorhombic
M_tot   0.1 μB/f.u.
Total energy   -4.174 eV/atom
Calculated formation energy   0.00 eV per atom
Symmetry   Pmmm

```
MnAlGa4
1.0
5.387 0.000 0.000
0.000 5.759 0.000
0.000 0.000 6.599
Mn Al Ga
2 2 8
direct
0.000 0.000 0.000
0.000 0.500 0.500
0.000 0.000 0.500
0.500 0.500 0.500
0.257 0.257 0.215
0.257 0.257 0.785
0.257 0.743 0.215
0.257 0.743 0.785
0.743 0.257 0.215
0.743 0.257 0.785
0.743 0.743 0.215
0.743 0.743 0.785
```

---

[8]
Below is a relaxed SrIN2Cl crystal, with properties calculated at the PBE-GGA level.

Values from the calculation:
Relative energy among the computed polymorphs   244 meV per atom
Crystal system   tetragonal
M_tot   1.4 μB/f.u.
Total energy   -2.968 eV/atom
ΔE_f (raw)   6.89 eV/f.u.
Symmetry   P4/mmm

```
SrIN2Cl
1.0
4.534 0.000 0.000
0.000 4.534 0.000
0.000 0.000 5.154
Sr I N Cl
1 1 2 1
direct
0.000 0.000 0.000
0.500 0.500 0.000
0.000 0.500 0.500
0.500 0.000 0.500
0.500 0.500 0.500
```

---

[9]
Below is a relaxed PrNdHo2P4 crystal, with properties calculated at the PBE-GGA level.

Values from the calculation:
Crystal system   monoclinic
M_tot   0.0 μB/f.u.
Total energy   -6.603 eV/atom
Calculated formation energy   -1.56 eV per atom
Symmetry   P2/m

```
PrNdHo2P4
1.0
7.075 0.000 0.000
0.000 4.090 0.000
-2.361 0.000 6.676
Pr Nd Ho P
1 1 2 4
direct
0.000 0.000 0.000
0.000 0.500 0.500
0.500 0.000 0.500
0.500 0.500 0.000
0.262 0.000 0.753
0.262 0.500 0.255
0.738 0.000 0.247
0.738 0.500 0.745
```

---

[10]
Below is a relaxed BaCa2Sc crystal, with properties calculated at the PBE-GGA level.

Values from the calculation:
Relative energy among the computed polymorphs   0 meV per atom
Crystal system   tetragonal
M_tot   0.0 μB/f.u.
Total energy   -2.886 eV/atom
Calculated formation energy   0.18 eV per atom
Symmetry   P4/mmm

```
BaCa2Sc
1.0
4.089 0.000 0.000
0.000 4.089 0.000
0.000 0.000 9.762
Ba Ca Sc
1 2 1
direct
0.000 0.000 0.000
0.500 0.500 0.302
0.500 0.500 0.698
0.000 0.000 0.500
```

---

[11]
Below is a relaxed KNa2AlHg crystal, with properties calculated at the PBE-GGA level.

Values from the calculation:
Relative energy among the computed polymorphs   6 meV per atom
Crystal system   tetragonal
M_tot   0.0 μB/f.u.
Total energy   -1.493 eV/atom
Calculated formation energy   0.06 eV per atom
Symmetry   P4/mmm

```
KNa2AlHg
1.0
5.881 0.000 0.000
0.000 5.881 0.000
0.000 0.000 5.350
K Na Al Hg
1 2 1 1
direct
0.000 0.000 0.000
0.000 0.500 0.500
0.500 0.000 0.500
0.500 0.500 0.500
0.500 0.500 0.000
```

---

[12]
Below is a relaxed CaWBr2 crystal, with properties calculated at the PBE-GGA level.

Values from the calculation:
Relative energy among the computed polymorphs   449 meV per atom
Crystal system   tetragonal
M_tot   1.6 μB/f.u.
Total energy   -4.201 eV/atom
ΔE_f (raw)   1.49 eV/f.u.
Symmetry   P4/mmm

```
CaWBr2
1.0
4.885 0.000 0.000
0.000 4.885 0.000
0.000 0.000 3.447
Ca W Br
1 1 2
direct
0.000 0.000 0.000
0.500 0.500 0.000
0.000 0.500 0.500
0.500 0.000 0.500
```

---

What is the formula in the sixth record?
Dy2InH

---

Repeat the seventh record exactly.
Below is a relaxed MnAlGa4 crystal, with properties calculated at the PBE-GGA level.

Values from the calculation:
Relative energy among the computed polymorphs   65 meV per atom
Crystal system   orthorhombic
M_tot   0.1 μB/f.u.
Total energy   -4.174 eV/atom
Calculated formation energy   0.00 eV per atom
Symmetry   Pmmm

```
MnAlGa4
1.0
5.387 0.000 0.000
0.000 5.759 0.000
0.000 0.000 6.599
Mn Al Ga
2 2 8
direct
0.000 0.000 0.000
0.000 0.500 0.500
0.000 0.000 0.500
0.500 0.500 0.500
0.257 0.257 0.215
0.257 0.257 0.785
0.257 0.743 0.215
0.257 0.743 0.785
0.743 0.257 0.215
0.743 0.257 0.785
0.743 0.743 0.215
0.743 0.743 0.785
```

---

Which formula does entry 7 have?
MnAlGa4